No. 1
# Rb2SbSeO6, relaxed, DFT GGA-PBE
# **Energy relative to the elements, uncorrected**: -1.007 eV/atom
# **E_tot**: -4.936 eV per atom
data_Rb2SbSeO6
_space_group_name_H-M_alt 'I 4/m m m'
_space_group_IT_number 139
_space_group_name_Hall '-I 4 2'
_cell_length_a 5.6320
_cell_length_b 5.6320
_cell_length_c 10.1768
_cell_angle_alpha 90.00
_cell_angle_beta 90.00
_cell_angle_gamma 90.00
loop_
_atom_site_label
_atom_site_type_symbol
_atom_site_fract_x
_atom_site_fract_y
_atom_site_fract_z
Rb1 Rb 0.0000 0.5000 0.2500
Sb1 Sb 0.0000 0.0000 0.0000
Se1 Se 0.0000 0.0000 0.5000
O1 O 0.0000 0.0000 0.1863
O2 O 0.2306 0.2306 0.5000

***

No. 2
# RbSiSbO6, relaxed, DFT GGA-PBE
# **Energy relative to the elements, uncorrected**: -1.501 eV/atom
# **E_tot**: -5.974 eV per atom
data_RbSiSbO6
_space_group_name_H-M_alt 'P 3 1 2'
_space_group_IT_number 149
_cell_length_a 5.0772
_cell_length_b 5.0772
_cell_length_c 6.4980
_cell_angle_alpha 90.00
_cell_angle_beta 90.00
_cell_angle_gamma 120.00
loop_
_space_group_symop_operation_xyz
'x,y,z'
'-y,x-y,z'
'-x+y,-x,z'
'-y,-x,-z'
'-x+y,y,-z'
'x,x-y,-z'
loop_
_atom_site_label
_atom_site_type_symbol
_atom_site_fract_x
_atom_site_fract_y
_atom_site_fract_z
Rb1 Rb 0.0000 0.0000 0.0000
Si1 Si 0.6667 0.3333 0.5000
Sb1 Sb 0.3333 0.6667 0.5000
O1 O 0.3911 0.0339 0.6596

***

No. 3
# Rb3SmSb2O9, relaxed, DFT GGA-PBE
# **Energy relative to the elements, uncorrected**: -1.644 eV/atom
# **E_tot**: -5.676 eV per atom
data_Rb3SmSb2O9
_space_group_name_H-M_alt 'P -3 m 1'
_space_group_IT_number 164
_space_group_name_Hall '-P 3 2"'
_cell_length_a 6.0086
_cell_length_b 6.0086
_cell_length_c 7.4181
_cell_angle_alpha 90.00
_cell_angle_beta 90.00
_cell_angle_gamma 120.00
loop_
_atom_site_label
_atom_site_type_symbol
_atom_site_fract_x
_atom_site_fract_y
_atom_site_fract_z
Rb1 Rb 0.0000 0.0000 0.0000
Rb2 Rb 0.3333 0.6667 0.6645
Sm1 Sm 0.0000 0.0000 0.5000
Sb1 Sb 0.3333 0.6667 0.1577
O1 O 0.0000 0.5000 0.0000
O2 O 0.1778 0.3555 0.3109

***

No. 4
# Rb3SmSb2O6, relaxed, DFT GGA-PBE
# **Energy relative to the elements, uncorrected**: -1.958 eV/atom
# **E_tot**: -5.759 eV per atom
data_Rb3SmSb2O6
_space_group_name_H-M_alt 'P -3 m 1'
_space_group_IT_number 164
_space_group_name_Hall '-P 3 2"'
_cell_length_a 6.2796
_cell_length_b 6.2796
_cell_length_c 7.5911
_cell_angle_alpha 90.00
_cell_angle_beta 90.00
_cell_angle_gamma 120.00
loop_
_atom_site_label
_atom_site_type_symbol
_atom_site_fract_x
_atom_site_fract_y
_atom_site_fract_z
Rb1 Rb 0.0000 0.0000 0.0000
Rb2 Rb 0.3333 0.6667 0.6569
Sm1 Sm 0.0000 0.0000 0.5000
Sb1 Sb 0.3333 0.6667 0.1951
O1 O 0.1740 0.3480 0.3168

***

No. 5
# Rb3SmSb2O8, relaxed, DFT GGA-PBE
# **Energy relative to the elements, uncorrected**: -1.865 eV/atom
# **E_tot**: -5.831 eV per atom
data_Rb3SmSb2O8
_space_group_name_H-M_alt 'P -3 m 1'
_space_group_IT_number 164
_space_group_name_Hall '-P 3 2"'
_cell_length_a 6.3033
_cell_length_b 6.3033
_cell_length_c 8.1301
_cell_angle_alpha 90.00
_cell_angle_beta 90.00
_cell_angle_gamma 120.00
loop_
_atom_site_label
_atom_site_type_symbol
_atom_site_fract_x
_atom_site_fract_y
_atom_site_fract_z
Rb1 Rb 0.0000 0.0000 0.0000
Rb2 Rb 0.3333 0.6667 0.6818
Sm1 Sm 0.0000 0.0000 0.5000
Sb1 Sb 0.3333 0.6667 0.2371
O1 O 0.1717 0.3433 0.3301
O2 O 0.3333 0.6667 0.0074

***

No. 6
# RbSn2SbO8, relaxed, DFT GGA-PBE
# **Energy relative to the elements, uncorrected**: -1.257 eV/atom
# **E_tot**: -5.654 eV per atom
data_RbSn2SbO8
_space_group_name_H-M_alt 'P -1'
_space_group_IT_number 2
_cell_length_a 4.7720
_cell_length_b 4.7729
_cell_length_c 8.1233
_cell_angle_alpha 92.27
_cell_angle_beta 91.92
_cell_angle_gamma 92.29
loop_
_space_group_symop_operation_xyz
'x,y,z'
'-x,-y,-z'
loop_
_atom_site_label
_atom_site_type_symbol
_atom_site_fract_x
_atom_site_fract_y
_atom_site_fract_z
Rb1 Rb 0.0000 0.0000 0.0000
Sn1 Sn 0.4917 0.4908 0.3089
Sb1 Sb 0.0000 0.0000 0.5000
O1 O 0.1875 0.1840 0.3134
O2 O 0.2048 0.2067 0.6957
O3 O 0.2950 0.7039 0.5002
O4 O 0.4189 0.4153 0.0565

***

No. 7
# Rb12Sn2Sb6O, relaxed, DFT GGA-PBE
# **Energy relative to the elements, uncorrected**: -0.481 eV/atom
# **E_tot**: -2.829 eV per atom
data_Rb12Sn2Sb6O
_space_group_name_H-M_alt 'P -3 m 1'
_space_group_IT_number 164
_space_group_name_Hall '-P 3 2"'
_cell_length_a 12.5569
_cell_length_b 12.5569
_cell_length_c 6.3839
_cell_angle_alpha 90.00
_cell_angle_beta 90.00
_cell_angle_gamma 120.00
loop_
_atom_site_label
_atom_site_type_symbol
_atom_site_fract_x
_atom_site_fract_y
_atom_site_fract_z
Rb1 Rb 0.0902 0.5451 0.2490
Rb2 Rb 0.1118 0.2235 0.2775
Sn1 Sn 0.3333 0.6667 0.7531
Sb1 Sb 0.2065 0.4129 0.7608
O1 O 0.0000 0.0000 0.5000

***

No. 8
# Rb2SnSbO, relaxed, DFT GGA-PBE
# **Energy relative to the elements, uncorrected**: -0.763 eV/atom
# **E_tot**: -3.767 eV per atom
data_Rb2SnSbO
_space_group_name_H-M_alt 'P 1 21/m 1'
_space_group_IT_number 11
_cell_length_a 7.9606
_cell_length_b 4.4323
_cell_length_c 10.4717
_cell_angle_alpha 90.00
_cell_angle_beta 109.79
_cell_angle_gamma 90.00
loop_
_space_group_symop_operation_xyz
'x,y,z'
'-x,-y,-z'
'-x,y+1/2,-z'
'x,-y+1/2,z'
loop_
_atom_site_label
_atom_site_type_symbol
_atom_site_fract_x
_atom_site_fract_y
_atom_site_fract_z
Rb1 Rb 0.1487 0.2500 0.4435
Rb2 Rb 0.2290 0.2500 0.8590
Sn1 Sn 0.4833 0.7500 0.6770
Sb1 Sb 0.3044 0.7500 0.1788
O1 O 0.2228 0.7500 0.6600

***

No. 9
# Rb2Sr5Sb3O2, relaxed, DFT GGA-PBE
# **Energy relative to the elements, uncorrected**: -1.425 eV/atom
# **E_tot**: -4.143 eV per atom
data_Rb2Sr5Sb3O2
_space_group_name_H-M_alt 'I 4/m m m'
_space_group_IT_number 139
_space_group_name_Hall '-I 4 2'
_cell_length_a 5.0883
_cell_length_b 5.0883
_cell_length_c 30.5632
_cell_angle_alpha 90.00
_cell_angle_beta 90.00
_cell_angle_gamma 90.00
loop_
_atom_site_label
_atom_site_type_symbol
_atom_site_fract_x
_atom_site_fract_y
_atom_site_fract_z
Rb1 Rb 0.0000 0.0000 0.2079
Sr1 Sr 0.0000 0.0000 0.0000
Sr2 Sr 0.0000 0.5000 0.0923
Sb1 Sb 0.0000 0.0000 0.3348
Sb2 Sb 0.0000 0.0000 0.5000
O1 O 0.0000 0.0000 0.0800

***

No. 10
# Rb2SrSb2O6, relaxed, DFT GGA-PBE
# **Energy relative to the elements, uncorrected**: -1.668 eV/atom
# **E_tot**: -5.451 eV per atom
data_Rb2SrSb2O6
_space_group_name_H-M_alt 'C 1 2/m 1'
_space_group_IT_number 12
_cell_length_a 11.1705
_cell_length_b 6.6078
_cell_length_c 7.6989
_cell_angle_alpha 90.00
_cell_angle_beta 122.22
_cell_angle_gamma 90.00
loop_
_space_group_symop_operation_xyz
'x,y,z'
'-x,-y,-z'
'-x,y,-z'
'x,-y,z'
'x+1/2,y+1/2,z'
'-x+1/2,-y+1/2,-z'
'-x+1/2,y+1/2,-z'
'x+1/2,-y+1/2,z'
loop_
_atom_site_label
_atom_site_type_symbol
_atom_site_fract_x
_atom_site_fract_y
_atom_site_fract_z
Rb1 Rb 0.2044 0.0000 0.1788
Sr1 Sr 0.0000 0.0000 0.5000
Sb1 Sb 0.0418 0.5000 0.2120
O1 O 0.0467 0.2624 0.7669
O2 O 0.2414 0.5000 0.3914

***

No. 11
# Rb3SrSb2O6, relaxed, DFT GGA-PBE
# **Energy relative to the elements, uncorrected**: -1.691 eV/atom
# **E_tot**: -5.239 eV per atom
data_Rb3SrSb2O6
_space_group_name_H-M_alt 'P -3 m 1'
_space_group_IT_number 164
_space_group_name_Hall '-P 3 2"'
_cell_length_a 6.4832
_cell_length_b 6.4832
_cell_length_c 7.5934
_cell_angle_alpha 90.00
_cell_angle_beta 90.00
_cell_angle_gamma 120.00
loop_
_atom_site_label
_atom_site_type_symbol
_atom_site_fract_x
_atom_site_fract_y
_atom_site_fract_z
Rb1 Rb 0.0000 0.0000 0.0000
Rb2 Rb 0.3333 0.6667 0.6529
Sr1 Sr 0.0000 0.0000 0.5000
Sb1 Sb 0.3333 0.6667 0.1902
O1 O 0.1776 0.3551 0.3003

***

No. 12
# Rb2Sr2SbO6, relaxed, DFT GGA-PBE
# **Energy relative to the elements, uncorrected**: -1.876 eV/atom
# **E_tot**: -5.437 eV per atom
data_Rb2Sr2SbO6
_space_group_name_H-M_alt 'C 1 2/m 1'
_space_group_IT_number 12
_cell_length_a 6.2786
_cell_length_b 10.6495
_cell_length_c 6.9393
_cell_angle_alpha 90.00
_cell_angle_beta 106.84
_cell_angle_gamma 90.00
loop_
_space_group_symop_operation_xyz
'x,y,z'
'-x,-y,-z'
'-x,y,-z'
'x,-y,z'
'x+1/2,y+1/2,z'
'-x+1/2,-y+1/2,-z'
'-x+1/2,y+1/2,-z'
'x+1/2,-y+1/2,z'
loop_
_atom_site_label
_atom_site_type_symbol
_atom_site_fract_x
_atom_site_fract_y
_atom_site_fract_z
Rb1 Rb 0.0000 0.1650 0.0000
Sr1 Sr 0.0000 0.3387 0.5000
Sb1 Sb 0.0000 0.0000 0.5000
O1 O 0.1876 0.1405 0.6681
O2 O 0.2140 0.0000 0.3284